Compound: BaPtC3
Source: Alexandria
Functional: GGA-PBE
Structure: relaxed

Output
- Calculated formation energy: 3.948 eV/atom
- E: -15.9 eV/f.u.
- Crystal system: cubic

Cell: 4.595 4.595 4.595 Å, 90.00 90.00 90.00°
Space group Pm-3m (No. 221)
Asymmetric unit:
Ba: 0.000 0.000 0.000 [1 per cell]
Pt: 0.500 0.500 0.500 [1 per cell]
C: 0.000 0.000 0.500 [3 per cell]